Record 1
8
Lattice="-3.509 0.533 0.231 0.291 -0.243 4.976 3.278 10.660 -2.174" Properties=species:S:1:pos:R:3 comment="Nd3Rh3Pb2, relaxed, DFT PBE" space_group="Immm (71)" delta_e_f_kj_per_mol_fu=-354 dft_energy_ev_per_atom=-5.931 magnetic_moment_mub_per_cell=0.0 pbc="T T T"
Nd -1.221 2.657 2.704
Nd 1.281 8.292 0.330
Nd -1.755 0.266 0.116
Rh 0.361 2.338 0.093
Rh 0.146 -0.121 2.488
Rh -0.301 8.611 2.940
Pb -1.025 4.991 0.304
Pb 1.085 5.959 2.730

=====

Record 2
5
Lattice="5.472 0.000 0.000 0.000 5.472 0.000 0.000 0.000 5.472" Properties=species:S:1:pos:R:3 comment="Nd3RhPb, relaxed, DFT PBE" space_group="Pm-3m (221)" delta_e_f_kj_per_mol_fu=-183 de_polymorph_mev_per_atom=189 dft_energy_ev_per_atom=-5.453 magnetic_moment_mub_per_cell=0.0 pbc="T T T"
Pb 2.736 2.736 2.736
Rh 0.000 0.000 0.000
Nd 0.000 2.736 0.000
Nd 0.000 0.000 2.736
Nd 2.736 0.000 0.000